# DyHoSnRu

Crystalline DyHoSnRu at its relaxed geometry (PBE, Alexandria).

Structure (POSCAR):
```
DyHoSnRu
1.0
-3.1088 -3.5759 1.7744
-0.2576 -4.4981 -2.3023
1.8992 -4.1102 2.2582
Ho Dy Ru Sn
1 1 1 1
Direct
0.0000 0.0000 0.0000
0.5000 0.5000 0.5000
0.7500 0.7500 0.7500
0.2500 0.2500 0.2500
```

Output
Symmetry: F-43m, No. 216
Distance to the lowest polymorph of the same formula in meV/atom: 84
Formation energy from the elements in eV per atom: -0.42
Calculated total energy in eV/atom: -6.033



# DyHoSnRu

Crystalline DyHoSnRu at its relaxed geometry (PBE, Alexandria).

Structure (POSCAR):
```
DyHoSnRu
1.0
-1.6716 -2.8813 -3.1589
0.5256 -2.7932 2.2695
-4.5155 2.1837 3.7333
Sn Ru Dy Ho
1 1 1 1
Direct
0.5707 0.5000 0.1415
0.3976 0.0000 0.7951
0.1666 0.0000 0.3333
0.8651 0.5000 0.7302
```

Output
Symmetry: Amm2, No. 38
Distance to the lowest polymorph of the same formula in meV/atom: 0
Formation energy from the elements in eV per atom: -0.50
Calculated total energy in eV/atom: -6.117



# DyHoTlRu

Crystalline DyHoTlRu at its relaxed geometry (PBE, Alexandria).

Structure (POSCAR):
```
DyHoTlRu
1.0
5.0700 0.0000 0.0000
2.5350 4.3907 0.0000
2.5350 1.4636 4.1396
Ho Tl Dy Ru
1 1 1 1
Direct
0.5000 0.5000 0.5000
0.2500 0.2500 0.2500
0.0000 0.0000 0.0000
0.7500 0.7500 0.7500
```

Output
Symmetry: F-43m, No. 216
Formation energy from the elements in eV per atom: -0.26
Calculated total energy in eV/atom: -5.466



- Number 3 is which compound?
  DyHoTlRu



- Among the records above, which one has the highest formation energy from the elements?
  DyHoTlRu



What did the second record say?
# DyHoSnRu

Crystalline DyHoSnRu at its relaxed geometry (PBE, Alexandria).

Structure (POSCAR):
```
DyHoSnRu
1.0
-1.6716 -2.8813 -3.1589
0.5256 -2.7932 2.2695
-4.5155 2.1837 3.7333
Sn Ru Dy Ho
1 1 1 1
Direct
0.5707 0.5000 0.1415
0.3976 0.0000 0.7951
0.1666 0.0000 0.3333
0.8651 0.5000 0.7302
```

Output
Symmetry: Amm2, No. 38
Distance to the lowest polymorph of the same formula in meV/atom: 0
Formation energy from the elements in eV per atom: -0.50
Calculated total energy in eV/atom: -6.117



- What is the formation energy from the elements in the second record?
  -0.50 eV per atom